(1)
Entry from Alexandria: a geometry-optimized Hf2PaGa structure (GGA-PBE).

abc: 3.526 3.526 6.866
angles: 90.00 90.00 90.00
Atoms (fractional coordinates):
Pa 0.500 0.500 0.500
Hf 0.000 0.000 0.779
Hf 0.000 0.000 0.221
Ga 0.500 0.500 0.000

Computed properties:
energy relative to the elements	-93	meV/atom
symmetry	P4/mmm, No. 123

---

(2)
Entry from Alexandria: a geometry-optimized PmNi13 structure (GGA-PBE).

abc: 7.934 7.934 7.934
angles: 60.00 60.00 60.00
Last column: magnetic moment on the atom in μB.
Atoms (fractional coordinates):
Pm 0.750 0.750 0.750  -0.06
Pm 0.250 0.250 0.250  -0.06
Ni 0.437 0.563 0.204  0.56
Ni 0.204 0.796 0.437  0.56
Ni 0.796 0.204 0.563  0.56
Ni 0.563 0.437 0.796  0.56
Ni 0.563 0.796 0.204  0.56
Ni 0.796 0.563 0.437  0.56
Ni 0.204 0.437 0.563  0.56
Ni 0.437 0.204 0.796  0.56
Ni 0.796 0.437 0.204  0.56
Ni 0.563 0.204 0.437  0.56
Ni 0.437 0.796 0.563  0.56
Ni 0.204 0.563 0.796  0.56
Ni 0.296 0.937 0.063  0.56
Ni 0.063 0.704 0.296  0.56
Ni 0.937 0.296 0.704  0.56
Ni 0.704 0.063 0.937  0.56
Ni 0.296 0.704 0.937  0.56
Ni 0.063 0.937 0.704  0.56
Ni 0.937 0.063 0.296  0.56
Ni 0.704 0.296 0.063  0.56
Ni 0.296 0.063 0.704  0.56
Ni 0.063 0.296 0.937  0.56
Ni 0.937 0.704 0.063  0.56
Ni 0.704 0.937 0.296  0.56
Ni 0.500 0.500 0.500  0.51
Ni 0.000 0.000 0.000  0.51

Computed properties:
energy relative to the elements	-85	meV/atom
symmetry	Fm-3c, No. 226

---

(3)
Entry from Alexandria: a geometry-optimized Nb2InCoBi structure (GGA-PBE).

abc: 5.231 4.664 5.231
angles: 90.00 90.00 90.00
Last column: magnetic moment on the atom in μB.
Atoms (fractional coordinates):
Nb 0.000 0.000 0.500  -0.01
Nb 0.500 0.000 0.000  -0.01
Co 0.000 0.500 0.000  1.26
Bi 0.000 0.000 0.000  -0.01
In 0.500 0.500 0.500  0.01

Computed properties:
energy relative to the elements	1530	meV/atom
symmetry	P4/mmm, No. 123

---

(4)
Entry from Alexandria: a geometry-optimized MgSiSb2 structure (GGA-PBE).

abc: 5.077 5.077 5.077
angles: 60.00 60.00 60.00
Atoms (fractional coordinates):
Sb 0.250 0.250 0.250
Sb 0.750 0.750 0.750
Si 0.500 0.500 0.500
Mg 0.000 0.000 0.000

Computed properties:
uncorrected formation energy	0.24	eV/atom
symmetry	Fm-3m, No. 225

---

(5)
Entry from Alexandria: a geometry-optimized K6Al4Si6BH4ClO24 structure (GGA-PBE).

abc: 9.971 9.971 13.213
angles: 90.00 90.00 90.00
Atoms (fractional coordinates):
K 0.500 0.500 0.747
K 0.000 0.000 0.753
K 0.500 0.500 0.253
K 0.000 0.000 0.247
K 0.712 0.719 0.561
K 0.212 0.781 0.939
K 0.288 0.281 0.561
K 0.788 0.219 0.939
K 0.719 0.288 0.439
K 0.781 0.788 0.061
K 0.281 0.712 0.439
K 0.219 0.212 0.061
Al 0.889 0.655 0.815
Al 0.389 0.845 0.685
Al 0.111 0.345 0.815
Al 0.611 0.155 0.685
Al 0.655 0.111 0.185
Al 0.845 0.611 0.315
Al 0.345 0.889 0.185
Al 0.155 0.389 0.315
Si 0.656 0.885 0.805
Si 0.156 0.615 0.695
Si 0.344 0.115 0.805
Si 0.844 0.385 0.695
Si 0.885 0.344 0.195
Si 0.615 0.844 0.305
Si 0.115 0.656 0.195
Si 0.385 0.156 0.305
Si 0.000 0.500 0.508
Si 0.500 0.000 0.992
Si 0.500 0.000 0.492
Si 0.000 0.500 0.008
B 0.500 0.500 0.000
B 0.000 0.000 0.500
H 0.690 0.500 0.056
H 0.190 0.000 0.444
H 0.310 0.500 0.056
H 0.810 0.000 0.444
H 0.500 0.310 0.944
H 0.000 0.810 0.556
H 0.500 0.690 0.944
H 0.000 0.190 0.556
Cl 0.500 0.500 0.500
Cl 0.000 0.000 0.000
O 0.794 0.802 0.817
O 0.294 0.698 0.683
O 0.206 0.198 0.817
O 0.706 0.302 0.683
O 0.802 0.206 0.183
O 0.698 0.706 0.317
O 0.198 0.794 0.183
O 0.302 0.294 0.317
O 0.909 0.601 0.941
O 0.409 0.899 0.559
O 0.091 0.399 0.941
O 0.591 0.101 0.559
O 0.601 0.091 0.059
O 0.899 0.591 0.441
O 0.399 0.909 0.059
O 0.101 0.409 0.441
O 0.587 0.895 0.921
O 0.087 0.605 0.579
O 0.413 0.105 0.921
O 0.913 0.395 0.579
O 0.895 0.413 0.079
O 0.605 0.913 0.421
O 0.105 0.587 0.079
O 0.395 0.087 0.421
O 0.552 0.807 0.730
O 0.052 0.693 0.770
O 0.448 0.193 0.730
O 0.948 0.307 0.770
O 0.807 0.448 0.270
O 0.693 0.948 0.230
O 0.193 0.552 0.270
O 0.307 0.052 0.230
O 0.812 0.538 0.734
O 0.312 0.962 0.766
O 0.188 0.462 0.734
O 0.688 0.038 0.766
O 0.538 0.188 0.266
O 0.962 0.688 0.234
O 0.462 0.812 0.266
O 0.038 0.312 0.234
O 0.944 0.890 0.564
O 0.444 0.610 0.936
O 0.056 0.110 0.564
O 0.556 0.390 0.936
O 0.890 0.056 0.436
O 0.610 0.556 0.064
O 0.110 0.944 0.436
O 0.390 0.444 0.064

Computed properties:
electronic total energy	-6.739	eV/atom
symmetry	P-42_1c, No. 114

---

(6)
Entry from Alexandria: a geometry-optimized BaFeRh2Cl structure (GGA-PBE).

abc: 5.158 5.659 5.158
angles: 90.00 90.00 90.00
Last column: magnetic moment on the atom in μB.
Atoms (fractional coordinates):
Cl 0.000 0.500 0.000  -0.02
Rh 0.000 0.000 0.500  0.27
Rh 0.500 0.000 0.000  0.40
Ba 0.000 0.000 0.000  -0.01
Fe 0.500 0.500 0.500  0.16

Computed properties:
uncorrected formation energy	1.79	eV/atom
symmetry	P4/mmm, No. 123

---

(7)
Entry from Alexandria: a geometry-optimized NaDySe2 structure (GGA-PBE).

abc: 7.406 7.406 7.406
angles: 32.51 32.51 32.51
Atoms (fractional coordinates):
Na 0.500 0.500 0.500
Se 0.743 0.743 0.743
Se 0.257 0.257 0.257
Dy 0.000 0.000 0.000

Computed properties:
uncorrected formation energy	-1.71	eV/atom
symmetry	R-3m, No. 166

---

(8)
Entry from Alexandria: a geometry-optimized Dy4TeS2 structure (GGA-PBE).

abc: 3.958 3.958 13.361
angles: 81.48 81.48 60.00
Atoms (fractional coordinates):
Dy 0.130 0.130 0.611
Dy 0.280 0.280 0.159
Dy 0.720 0.720 0.841
Dy 0.870 0.870 0.389
Te 0.000 0.000 0.000
S 0.424 0.424 0.729
S 0.576 0.576 0.271

Computed properties:
uncorrected formation energy	-1.49	eV/atom
symmetry	R-3m, No. 166

---

no.,V (Å³ per cell)
1,85
2,353
3,128
4,93
5,1314
6,151
7,104
8,179